No. 1
First-principles (PBE-GGA) data for Ba5CaAs4 after structural relaxation, as listed in Alexandria.

Cell: 4.714 8.905 11.064 Å, 113.64 102.30 90.00°
Sites, in units of the cell vectors:
Ba: 0.836 0.610 0.673
Ba: 0.836 0.062 0.672
Ba: 0.164 0.938 0.328
Ba: 0.500 0.500 0.000
Ba: 0.164 0.390 0.327
Ca: 0.500 0.000 0.000
As: 0.285 0.784 0.570
As: 0.000 0.765 0.000
As: 0.715 0.216 0.430
As: 0.000 0.235 0.000

Computed properties:
SG: C2/m (12)
ΔE_f in eV/atom: -1.000
Total energy in eV/cell: -40.21

No. 2
First-principles (PBE-GGA) data for Ba3CaAs after structural relaxation, as listed in Alexandria.

Cell: 6.490 6.490 6.490 Å, 90.00 90.00 90.00°
Sites, in units of the cell vectors:
As: 0.000 0.000 0.000
Ca: 0.500 0.500 0.500
Ba: 0.000 0.500 0.000
Ba: 0.000 0.000 0.500
Ba: 0.500 0.000 0.000

Computed properties:
SG: Pm-3m (221)
ΔE_f in eV/atom: -0.439
Total energy in eV/cell: -14.61
Distance to the lowest polymorph of the same formula in eV per atom: 0.0000

No. 3
First-principles (PBE-GGA) data for BaCaAs2 after structural relaxation, as listed in Alexandria.

Cell: 5.348 5.348 5.348 Å, 60.00 60.00 60.00°
Sites, in units of the cell vectors:
As: 0.000 0.000 0.000
As: 0.250 0.250 0.250
Ca: 0.750 0.750 0.750
Ba: 0.500 0.500 0.500

Computed properties:
SG: F-43m (216)
ΔE_f in eV/atom: -0.300
Total energy in eV/cell: -14.42
Distance to the lowest polymorph of the same formula in eV per atom: 0.6287

> Look up the ΔE_f of the first one.

-1.000 eV/atom

> total energy of number 1 (Ba5CaAs4)?

-40.21 eV/cell